Record 1
V2Fe | GGA-PBE | relaxed

Cell and atoms, written as POSCAR:
```
V2Fe
1.0
-1.043 -1.946 -1.264
-0.041 -2.231 3.471
-6.461 2.494 1.525
V Fe
4 2
Direct
0.160 0.250 0.417
0.501 0.250 0.766
0.499 0.750 0.234
0.840 0.750 0.583
0.828 0.250 0.088
0.172 0.750 0.912
```

Total magnetization: 0.290 μB/atom
DOS(E_F): 1.07 states/eV/atom
Calculated total energy: -8.9852 eV/atom
Crystal system: monoclinic


Record 2
V3Fe | GGA-PBE | relaxed

Cell and atoms, written as POSCAR:
```
V3Fe
1.0
4.645 0.000 0.000
0.000 4.645 0.000
0.000 0.000 4.645
Fe V
2 6
Direct
0.500 0.500 0.500
0.000 0.000 0.000
0.500 0.250 0.000
0.500 0.750 0.000
0.250 0.000 0.500
0.750 0.000 0.500
0.000 0.500 0.250
0.000 0.500 0.750
```

Total magnetization: 0.000 μB/atom
DOS(E_F): 1.33 states/eV/atom
Calculated total energy: -9.0966 eV/atom
Crystal system: cubic


Record 3
V3Fe5 | GGA-PBE | relaxed

Cell and atoms, written as POSCAR:
```
V3Fe5
1.0
-2.014 -0.626 -3.462
2.428 -4.281 -0.639
-4.163 -0.831 2.571
V Fe
3 5
Direct
0.000 0.500 0.500
0.500 0.758 0.242
0.500 0.242 0.758
0.000 0.000 0.000
0.000 0.000 0.500
0.000 0.500 0.000
0.500 0.256 0.256
0.500 0.744 0.744
```

Total magnetization: 0.753 μB/atom
DOS(E_F): 0.87 states/eV/atom
Calculated total energy: -8.8288 eV/atom
Crystal system: orthorhombic


Record 4
V3Fe | GGA-PBE | relaxed

Cell and atoms, written as POSCAR:
```
V3Fe
1.0
4.118 0.000 0.000
2.059 3.566 0.000
2.059 1.189 3.362
Fe V
1 3
Direct
0.000 0.000 0.000
0.250 0.250 0.250
0.750 0.750 0.750
0.500 0.500 0.500
```

Total magnetization: 0.000 μB/atom
DOS(E_F): 0.58 states/eV/atom
Calculated total energy: -9.0698 eV/atom
Crystal system: cubic


Record 5
VFe3 | GGA-PBE | relaxed

Cell and atoms, written as POSCAR:
```
VFe3
1.0
-3.353 -2.060 0.908
-0.955 -3.323 -2.087
0.272 -3.630 1.748
Fe V
3 1
Direct
0.750 0.750 0.750
0.250 0.250 0.250
0.000 0.000 0.000
0.500 0.500 0.500
```

Total magnetization: 1.232 μB/atom
DOS(E_F): 0.49 states/eV/atom
Calculated total energy: -8.7550 eV/atom
Crystal system: cubic


Record 6
V8Fe3 | GGA-PBE | relaxed

Cell and atoms, written as POSCAR:
```
V8Fe3
1.0
-1.964 -0.398 1.311
1.316 -4.038 0.745
6.908 6.422 10.116
V Fe
8 3
Direct
0.728 0.728 0.455
0.272 0.272 0.545
0.545 0.545 0.090
0.455 0.455 0.910
0.410 0.910 0.821
0.590 0.090 0.179
0.320 0.820 0.641
0.680 0.180 0.359
0.000 0.000 0.000
0.135 0.635 0.270
0.865 0.365 0.730
```

Total magnetization: 0.500 μB/atom
DOS(E_F): 1.47 states/eV/atom
Calculated total energy: -8.7754 eV/atom
Crystal system: orthorhombic


no.,DFT formation energy (eV/f.u.)
1,-0.26
2,-0.57
3,-0.96
4,-0.46
5,-0.51
6,1.81